No. 1
Sm12Cu6Ru | Alexandria | PBE | optimized geometry; formation enthalpy at 0 K = 2.1 kJ/mol of atoms
1.0
6.216 3.589 4.082
-6.216 3.589 4.082
0.000 -7.178 4.082
Sm Cu Ru
12 6 1
Direct
0.033 0.917 0.679
0.083 0.321 0.967
0.191 0.566 0.417
0.321 0.967 0.083
0.417 0.191 0.566
0.434 0.583 0.809
0.566 0.417 0.191
0.583 0.809 0.434
0.679 0.033 0.917
0.809 0.434 0.583
0.917 0.679 0.033
0.967 0.083 0.321
0.127 0.311 0.628
0.311 0.628 0.127
0.372 0.873 0.689
0.628 0.127 0.311
0.689 0.372 0.873
0.873 0.689 0.372
0.000 0.000 0.000

---

No. 2
CeEr3Zn4 | Alexandria | PBE | optimized geometry; formation enthalpy at 0 K = -28.6 kJ/mol of atoms
1.0
2.520 1.455 8.202
-2.520 1.455 8.202
0.000 -2.910 8.202
Ce Er Zn
1 3 4
Direct
0.000 0.000 0.000
0.250 0.250 0.250
0.500 0.500 0.500
0.750 0.750 0.750
0.126 0.126 0.126
0.377 0.377 0.377
0.623 0.623 0.623
0.874 0.874 0.874

---

No. 3
CaSm2In9 | Alexandria | PBE | optimized geometry; formation enthalpy at 0 K = -39.7 kJ/mol of atoms
1.0
4.699 0.000 0.000
0.000 4.699 0.000
0.000 0.000 14.085
Ca Sm In
1 2 9
Direct
0.000 0.000 0.000
0.000 0.000 0.335
0.000 0.000 0.665
0.000 0.500 0.167
0.000 0.500 0.500
0.000 0.500 0.833
0.500 0.000 0.167
0.500 0.000 0.500
0.500 0.000 0.833
0.500 0.500 0.000
0.500 0.500 0.334
0.500 0.500 0.666